1.
This record from the Alexandria database describes a geometry-optimized CePmGePb structure. The functional is PBE.

The space group is F-43m (No. 216) and the conventional cell measures 7.602, 7.602 and 7.602 Å, with angles of 90.00, 90.00 and 90.00 degrees. The asymmetric unit holds Ce at (0.000, 0.000, 0.000), Pm at (0.000, 0.000, 0.500), Ge at (0.250, 0.250, 0.250) and Pb at (0.250, 0.250, 0.750).

The value obtained for the formation energy from the elements is -1.71 eV per formula unit.

2.
This record from the Alexandria database describes a geometry-optimized RuAu3O structure. The functional is PBE.

The space group is Pm-3m (No. 221) and the conventional cell measures 4.411, 4.411 and 4.411 Å, with angles of 90.00, 90.00 and 90.00 degrees. The asymmetric unit holds Ru at (0.000, 0.000, 0.000), Au at (0.000, 0.500, 0.500) and O at (0.500, 0.500, 0.500).

The value obtained for the excess energy over the best structure of this formula in the dataset is 0 meV/atom. For the uncorrected formation energy, the calculation gives 858 meV per atom.

3.
This record from the Alexandria database describes a geometry-optimized Tb6Sm2Th structure. The functional is PBE.

The space group is P-6m2 (No. 187) and the conventional cell measures 3.5860, 3.5860 and 26.5537 Å, with angles of 90.00, 90.00 and 120.00 degrees. The asymmetric unit holds Tb at (0.0000, 0.0000, 0.0638), Tb at (0.0000, 0.0000, 0.2828), Tb at (0.3333, 0.6667, 0.3904), Sm at (0.3333, 0.6667, 0.1707) and Th at (0.0000, 0.0000, 0.5000).

The value obtained for the formation energy from the elements is 0.59 eV per formula unit.

Number 1: energy -5.18 eV per atom. Number 2: energy -3.96 eV per atom. Number 3: energy -4.89 eV per atom.